[1]
A geometry-optimized SnSe2S structure. Source: Alexandria, functional PBE.

- Energy relative to the lowest polymorph listed for this composition: 287.2 meV/atom
- Total DFT energy (no corrections): -3.431 eV per atom
- Uncorrected formation energy: 0.344 eV per atom
- Calculated volume: 99.6 Å³/cell
- Density of states at the Fermi level: 2.35 states/eV/f.u.

a b c (Å): 9.2637 9.2637 9.2637
angles (deg): 22.20 22.20 22.20
Closest atoms and distances in Å follow each position.
Fractional positions:
Se  0.1075  0.1075  0.1075  3 S 2.61, 1 Sn 2.91
Se  0.8925  0.8925  0.8925  3 S 2.61, 1 Sn 2.91
S  0.5000  0.5000  0.5000  6 Se 2.61
Sn  0.0000  0.0000  0.0000  2 Se 2.91

=====

[2]
A geometry-optimized Sn2SeS structure. Source: Alexandria, functional PBE.

- Energy relative to the lowest polymorph listed for this composition: 0.0 meV/atom
- Total DFT energy (no corrections): -4.342 eV per atom
- Uncorrected formation energy: -0.437 eV per atom
- Calculated volume: 214.7 Å³/cell

a b c (Å): 4.1098 4.5130 11.5744
angles (deg): 90.00 90.00 90.00
Closest atoms and distances in Å follow each position.
Fractional positions:
Sn  0.5000  0.6524  0.8760  1 S 2.64, 2 Se 2.81
Sn  0.0000  0.8899  0.1177  2 S 2.70, 1 Se 2.81
Sn  0.5000  0.3476  0.3760  1 S 2.64, 2 Se 2.81
Sn  0.0000  0.1101  0.6177  2 S 2.70, 1 Se 2.81
S  0.5000  0.7316  0.6504  3 Sn 2.64-2.70
S  0.5000  0.2684  0.1504  3 Sn 2.64-2.70
Se  0.0000  0.7686  0.3559  3 Sn 2.81
Se  0.0000  0.2314  0.8559  3 Sn 2.81

=====

Question: Which value of energy relative to the lowest polymorph listed for this composition does entry 1 give?
Answer: 287.2 meV/atom